--- A ---
! CoSiN2F | Alexandria | PBE+U | relaxed; values from VASP
! - theoretical density (kg/m³) = 4727
! - DOS(E_F) (states/eV per cell) = 0.6
! - magnetic moment (μB per formula unit) = 2.50
&SYSTEM
  ibrav = 0, nat = 5, ntyp = 4
/
ATOMIC_SPECIES
Si 28.09 Si.upf
N 14.01 N.upf
Co 58.93 Co.upf
F 19.00 F.upf
CELL_PARAMETERS angstrom
3.6118 0.0000 0.0000
0.0000 3.6118 0.0000
0.0000 0.0000 3.6094
ATOMIC_POSITIONS crystal
Si 0.0000 0.0000 0.0000
N 0.0000 0.5000 0.0000
N 0.5000 0.0000 0.0000
Co 0.5000 0.5000 0.5000
F 0.0000 0.0000 0.5000

--- B ---
! CoSiN2F | Alexandria | PBE+U | relaxed; values from VASP
! - theoretical density (kg/m³) = 3965
! - DOS(E_F) (states/eV per cell) = 2.2
! - magnetic moment (μB per formula unit) = 3.66
&SYSTEM
  ibrav = 0, nat = 5, ntyp = 4
/
ATOMIC_SPECIES
Si 28.09 Si.upf
N 14.01 N.upf
Co 58.93 Co.upf
F 19.00 F.upf
CELL_PARAMETERS angstrom
3.6823 0.0000 0.0000
0.0000 4.1401 0.0000
0.0000 0.0000 3.6823
ATOMIC_POSITIONS crystal
Si 0.5000 0.5000 0.5000
N 0.0000 0.0000 0.5000
N 0.5000 0.0000 0.0000
Co 0.0000 0.0000 0.0000
F 0.0000 0.5000 0.0000

Ranking the structures above from most stable to least stable yields A, B.